# AsPb

Crystalline AsPb at its relaxed geometry (PBE, Alexandria via LeMat-Bulk).

Cell lengths 3.9785, 5.3165, 15.2428 Å; angles 90.00, 90.00, 90.00 degrees
With the nearest neighbours (Å) after each atom.
Positions (direct):
As 0.5000 0.9113 0.5000  4 As 2.79
As 0.0000 0.9066 0.3714  2 As 2.79, 3 Pb 3.00-3.02
As 0.5000 0.0934 0.1286  2 As 2.79, 3 Pb 3.00-3.02
As 0.5000 0.0934 0.8714  2 As 2.79, 3 Pb 3.00-3.02
As 0.0000 0.9066 0.6286  2 As 2.79, 3 Pb 3.00-3.02
As 0.0000 0.0887 0.0000  4 As 2.79
Pb 0.0000 0.7016 0.1877  3 As 3.00-3.02
Pb 0.0000 0.4270 0.5000  8 As 3.22-3.39, 4 Pb 3.55
Pb 0.5000 0.2984 0.3123  3 As 3.00-3.02
Pb 0.5000 0.5730 0.0000  8 As 3.22-3.39, 4 Pb 3.55
Pb 0.0000 0.7016 0.8123  3 As 3.00-3.02
Pb 0.5000 0.2984 0.6877  3 As 3.00-3.02

Properties
Electronic total energy = -4.067 eV/atom
Total moment = 0.0 Bohr magnetons per cell
Space group = Pmmn (59)
Energy of formation from the pure elements = 0.11 eV per atom